No. 1
Rb3ErSc2S6, optimized geometry, DFT PBE; electronic total energy = -66.0 eV/f.u.; volume = 25.529 Å³ per atom; total magnetization = 0.0 μB per formula unit; space-group type = C2/m (12); DOS(E_F) = 0.000 states/eV/cell; uncorrected formation energy = -1.76 eV per atom
1.0
3.404 -5.896 0.000
3.404 5.896 0.000
-2.271 0.000 7.631
Rb Er Sc S
3 1 2 6
direct
0.000 0.000 0.000 Rb
0.335 0.665 0.000 Rb
0.665 0.335 0.000 Rb
0.500 0.500 0.500 Er
0.167 0.833 0.500 Sc
0.833 0.167 0.500 Sc
0.095 0.438 0.314 S
0.218 0.218 0.685 S
0.438 0.095 0.314 S
0.562 0.905 0.686 S
0.782 0.782 0.315 S
0.905 0.562 0.686 S


No. 2
Rb2ErSi2S6, optimized geometry, DFT PBE; electronic total energy = -53.8 eV/f.u.; volume = 26.748 Å³ per atom; total magnetization = 0.7 μB per formula unit; space-group type = C2/m (12); DOS(E_F) = 3.876 states/eV/cell; uncorrected formation energy = -1.06 eV per atom
1.0
6.121 -3.561 0.000
6.121 3.561 0.000
-4.196 0.000 6.750
Rb Er Si S
2 1 2 6
direct
0.217 0.217 0.210 Rb
0.783 0.783 0.790 Rb
0.000 0.000 0.500 Er
0.457 0.457 0.810 Si
0.543 0.543 0.190 Si
0.213 0.706 0.215 S
0.256 0.256 0.667 S
0.294 0.787 0.785 S
0.706 0.213 0.215 S
0.744 0.744 0.333 S
0.787 0.294 0.785 S


No. 3
RbErSiS4, optimized geometry, DFT PBE; electronic total energy = -37.4 eV/f.u.; volume = 26.149 Å³ per atom; total magnetization = 0.0 μB per formula unit; space-group type = P2_1/m (11); DOS(E_F) = 0.000 states/eV/cell; uncorrected formation energy = -1.42 eV per atom
1.0
6.373 0.000 0.000
0.000 6.668 0.000
-2.785 0.000 8.616
Rb Er Si S
2 2 2 8
direct
0.233 0.250 0.437 Rb
0.767 0.750 0.563 Rb
0.275 0.250 0.953 Er
0.725 0.750 0.047 Er
0.275 0.750 0.163 Si
0.725 0.250 0.837 Si
0.070 0.750 0.930 S
0.080 0.750 0.314 S
0.500 0.002 0.801 S
0.500 0.498 0.801 S
0.500 0.502 0.199 S
0.500 0.998 0.199 S
0.920 0.250 0.686 S
0.930 0.250 0.070 S


No. 4
Rb3SmEr2S6, optimized geometry, DFT PBE; electronic total energy = -63.7 eV/f.u.; volume = 27.822 Å³ per atom; total magnetization = 0.0 μB per formula unit; space-group type = C2/m (12); DOS(E_F) = 0.000 states/eV/cell; uncorrected formation energy = -1.85 eV per atom
1.0
3.540 -6.131 0.000
3.540 6.131 0.000
-2.361 0.000 7.691
Rb Sm Er S
3 1 2 6
direct
0.000 0.000 0.000 Rb
0.334 0.666 0.000 Rb
0.666 0.334 0.000 Rb
0.500 0.500 0.500 Sm
0.167 0.833 0.500 Er
0.833 0.167 0.500 Er
0.095 0.436 0.308 S
0.223 0.223 0.692 S
0.436 0.095 0.308 S
0.564 0.905 0.692 S
0.777 0.777 0.308 S
0.905 0.564 0.692 S


No. 5
RbErSnS3, optimized geometry, DFT PBE; electronic total energy = -29.6 eV/f.u.; volume = 32.148 Å³ per atom; total magnetization = 0.0 μB per formula unit; space-group type = Cmcm (63); uncorrected formation energy = -1.27 eV per atom
1.0
1.976 -8.683 0.000
1.976 8.683 0.000
0.000 0.000 11.243
Rb Er Sn S
2 2 2 6
direct
0.184 0.816 0.750 Rb
0.816 0.184 0.250 Rb
0.500 0.500 0.000 Er
0.500 0.500 0.500 Er
0.115 0.885 0.250 Sn
0.885 0.115 0.750 Sn
0.105 0.895 0.003 S
0.105 0.895 0.497 S
0.487 0.513 0.750 S
0.513 0.487 0.250 S
0.895 0.105 0.503 S
0.895 0.105 0.997 S


No. 6
Rb3Er2SnS6, optimized geometry, DFT PBE; electronic total energy = -58.3 eV/f.u.; volume = 27.406 Å³ per atom; total magnetization = 0.0 μB per formula unit; space-group type = C2/m (12); DOS(E_F) = 4.782 states/eV/cell; uncorrected formation energy = -1.46 eV per atom
1.0
3.522 -6.100 0.000
3.522 6.100 0.000
-2.345 0.000 7.654
Rb Er Sn S
3 2 1 6
direct
0.000 0.000 0.000 Rb
0.335 0.665 0.000 Rb
0.665 0.335 0.000 Rb
0.167 0.833 0.500 Er
0.833 0.167 0.500 Er
0.500 0.500 0.500 Sn
0.100 0.436 0.309 S
0.227 0.227 0.690 S
0.436 0.100 0.309 S
0.564 0.900 0.691 S
0.773 0.773 0.310 S
0.900 0.564 0.691 S